(a)
TaTlP | Alexandria | PBE-GGA | relaxed; DOS(E_F) = 3.04 states/eV per cell; calculated volume = 61.7 Å³ per cell; crystal system = cubic; space group = F-43m, No. 216
1.0
0.0000 3.1370 3.1370
3.1370 0.0000 3.1370
3.1370 3.1370 0.0000
Ta Tl P
1 1 1
Cartesian
0.0000 0.0000 0.0000 Ta
3.1370 3.1370 3.1370 Tl
4.7055 4.7055 4.7055 P

=====

(b)
TaTlP | Alexandria | PBE-GGA | relaxed; DOS(E_F) = 0.86 states/eV per cell; calculated volume = 61.9 Å³ per cell; crystal system = hexagonal; space group = P-6m2, No. 187
1.0
4.2303 0.0000 0.0000
-2.1152 3.6636 0.0000
0.0000 0.0000 3.9939
Ta Tl P
1 1 1
Cartesian
0.0000 0.0000 0.0000 Ta
2.1152 1.2212 1.9969 Tl
0.0000 2.4424 0.0000 P

=====

(c)
TaTlP | Alexandria | PBE-GGA | relaxed; DOS(E_F) = 1.38 states/eV per cell; calculated volume = 59.1 Å³ per cell; crystal system = tetragonal; space group = I4mm, No. 107
1.0
-1.6644 1.6644 5.3374
1.6644 -1.6644 5.3374
1.6644 1.6644 -5.3374
Ta Tl P
1 1 1
Cartesian
0.0000 0.0000 0.0000 Ta
0.0000 0.0000 3.1405 Tl
0.0000 0.0000 6.2424 P

=====

Verdict on stability: (a) comes out at the bottom.

=====

(a)
Ta3TlP | Alexandria | PBE-GGA | relaxed; DOS(E_F) = 6.33 states/eV per cell; calculated volume = 100.6 Å³ per cell; crystal system = cubic; space group = Pm-3m, No. 221
1.0
4.6508 0.0000 0.0000
0.0000 4.6508 0.0000
0.0000 0.0000 4.6508
Ta Tl P
3 1 1
Cartesian
0.0000 0.0000 2.3254 Ta
0.0000 2.3254 0.0000 Ta
2.3254 0.0000 0.0000 Ta
2.3254 2.3254 2.3254 Tl
0.0000 0.0000 0.0000 P

=====

(b)
Ta3TlP | Alexandria | PBE-GGA | relaxed; DOS(E_F) = 9.76 states/eV per cell; calculated volume = 130.1 Å³ per cell; crystal system = cubic; space group = Pm-3m, No. 221
1.0
5.0668 0.0000 0.0000
0.0000 5.0668 0.0000
0.0000 0.0000 5.0668
Ta Tl P
3 1 1
Cartesian
0.0000 0.0000 2.5334 Ta
0.0000 2.5334 0.0000 Ta
2.5334 0.0000 0.0000 Ta
0.0000 0.0000 0.0000 Tl
2.5334 2.5334 2.5334 P

=====

Verdict on stability: (b) comes out at the bottom.

=====

(a)
TaV3P | Alexandria | PBE-GGA | relaxed; DOS(E_F) = 6.65 states/eV per cell; calculated volume = 97.0 Å³ per cell; crystal system = cubic; space group = Pm-3m, No. 221
1.0
4.5953 0.0000 0.0000
0.0000 4.5953 0.0000
0.0000 0.0000 4.5953
Ta V P
1 3 1
Cartesian
0.0000 0.0000 0.0000 Ta
0.0000 0.0000 2.2977 V
0.0000 2.2977 0.0000 V
2.2977 0.0000 0.0000 V
2.2977 2.2977 2.2977 P

=====

(b)
TaV3P | Alexandria | PBE-GGA | relaxed; DOS(E_F) = 12.34 states/eV per cell; calculated volume = 146.9 Å³ per cell; crystal system = monoclinic; space group = Pc, No. 7
1.0
5.4859 0.0000 0.0000
0.0000 4.7950 0.0000
-5.2934 0.0000 5.5836
Ta V P
2 6 2
Cartesian
0.0000 1.0475 0.0000 Ta
-2.6467 3.7474 2.7918 Ta
-0.9276 1.2271 2.5888 V
-3.5743 3.5678 5.3806 V
-2.3694 1.2082 4.5312 V
0.2773 3.5868 1.7394 V
2.0973 1.1697 1.5168 V
-0.5495 3.6253 4.3086 V
1.1228 2.0710 3.5081 P
3.7696 2.7239 0.7163 P

=====

Verdict on stability: (a) comes out at the bottom.

=====

(a)
TaPW3 | Alexandria | PBE-GGA | relaxed; DOS(E_F) = 5.16 states/eV per cell; calculated volume = 110.6 Å³ per cell; crystal system = cubic; space group = Pm-3m, No. 221
1.0
4.8006 0.0000 0.0000
0.0000 4.8006 0.0000
0.0000 0.0000 4.8006
Ta P W
1 1 3
Cartesian
0.0000 0.0000 0.0000 Ta
2.4003 2.4003 2.4003 P
0.0000 0.0000 2.4003 W
0.0000 2.4003 0.0000 W
2.4003 0.0000 0.0000 W

=====

(b)
TaPW3 | Alexandria | PBE-GGA | relaxed; DOS(E_F) = 10.01 states/eV per cell; calculated volume = 87.8 Å³ per cell; crystal system = cubic; space group = Pm-3m, No. 221
1.0
4.4447 0.0000 0.0000
0.0000 4.4447 0.0000
0.0000 0.0000 4.4447
Ta P W
1 1 3
Cartesian
0.0000 0.0000 0.0000 Ta
2.2223 2.2223 2.2223 P
0.0000 2.2223 2.2223 W
2.2223 0.0000 2.2223 W
2.2223 2.2223 0.0000 W

=====

Verdict on stability: (a) comes out at the bottom.

=====

(a)
YTa2P2 | Alexandria | PBE-GGA | relaxed; DOS(E_F) = 7.90 states/eV per cell; calculated volume = 173.4 Å³ per cell; crystal system = tetragonal; space group = P4/mbm, No. 127
1.0
7.2439 0.0000 0.0000
0.0000 7.2439 0.0000
0.0000 0.0000 3.3053
Y Ta P
2 4 4
Cartesian
0.0000 0.0000 0.0000 Y
3.6219 3.6219 0.0000 Y
1.0317 2.5902 1.6526 Ta
2.5902 6.2121 1.6526 Ta
4.6536 1.0317 1.6526 Ta
6.2121 4.6536 1.6526 Ta
1.0121 4.6341 0.0000 P
2.6098 1.0121 0.0000 P
4.6341 6.2317 0.0000 P
6.2317 2.6098 0.0000 P

=====

(b)
YTa2P2 | Alexandria | PBE-GGA | relaxed; DOS(E_F) = 2.99 states/eV per cell; calculated volume = 97.5 Å³ per cell; crystal system = tetragonal; space group = I4/mmm, No. 139
1.0
-2.3570 2.3570 4.3864
2.3570 -2.3570 4.3864
2.3570 2.3570 -4.3864
Y Ta P
1 2 2
Cartesian
0.0000 0.0000 0.0000 Y
0.0000 0.0000 3.0931 Ta
0.0000 0.0000 5.6796 Ta
2.3570 0.0000 2.1932 P
0.0000 2.3570 2.1932 P

=====

Verdict on stability: (b) comes out at the bottom.

=====

(a)
TaZn3P | Alexandria | PBE-GGA | relaxed; DOS(E_F) = 2.07 states/eV per cell; calculated volume = 125.0 Å³ per cell; crystal system = cubic; space group = Pm-3m, No. 221
1.0
4.9996 0.0000 0.0000
0.0000 4.9996 0.0000
0.0000 0.0000 4.9996
Ta Zn P
1 3 1
Cartesian
0.0000 0.0000 0.0000 Ta
0.0000 0.0000 2.4998 Zn
0.0000 2.4998 0.0000 Zn
2.4998 0.0000 0.0000 Zn
2.4998 2.4998 2.4998 P

=====

(b)
TaZn3P | Alexandria | PBE-GGA | relaxed; DOS(E_F) = 6.01 states/eV per cell; calculated volume = 92.0 Å³ per cell; crystal system = cubic; space group = Pm-3m, No. 221
1.0
4.5147 0.0000 0.0000
0.0000 4.5147 0.0000
0.0000 0.0000 4.5147
Ta Zn P
1 3 1
Cartesian
0.0000 0.0000 0.0000 Ta
0.0000 2.2573 2.2573 Zn
2.2573 0.0000 2.2573 Zn
2.2573 2.2573 0.0000 Zn
2.2573 2.2573 2.2573 P

=====

Verdict on stability: (a) comes out at the bottom.

=====

(a)
TaZnP3 | Alexandria | PBE-GGA | relaxed; DOS(E_F) = 4.05 states/eV per cell; calculated volume = 111.7 Å³ per cell; crystal system = cubic; space group = Pm-3m, No. 221
1.0
4.8161 0.0000 0.0000
0.0000 4.8161 0.0000
0.0000 0.0000 4.8161
Ta Zn P
1 1 3
Cartesian
0.0000 0.0000 0.0000 Ta
2.4081 2.4081 2.4081 Zn
0.0000 0.0000 2.4081 P
0.0000 2.4081 0.0000 P
2.4081 0.0000 0.0000 P

=====

(b)
TaZnP3 | Alexandria | PBE-GGA | relaxed; DOS(E_F) = 4.21 states/eV per cell; calculated volume = 90.1 Å³ per cell; crystal system = cubic; space group = Pm-3m, No. 221
1.0
4.4830 0.0000 0.0000
0.0000 4.4830 0.0000
0.0000 0.0000 4.4830
Ta Zn P
1 1 3
Cartesian
0.0000 0.0000 0.0000 Ta
2.2415 2.2415 2.2415 Zn
0.0000 2.2415 2.2415 P
2.2415 0.0000 2.2415 P
2.2415 2.2415 0.0000 P

=====

Verdict on stability: (b) comes out at the bottom.

=====

(a)
ZrTaP3 | Alexandria | PBE-GGA | relaxed; DOS(E_F) = 4.63 states/eV per cell; calculated volume = 116.3 Å³ per cell; crystal system = cubic; space group = Pm-3m, No. 221
1.0
4.8818 0.0000 0.0000
0.0000 4.8818 0.0000
0.0000 0.0000 4.8818
Zr Ta P
1 1 3
Cartesian
0.0000 0.0000 0.0000 Zr
2.4409 2.4409 2.4409 Ta
0.0000 0.0000 2.4409 P
0.0000 2.4409 0.0000 P
2.4409 0.0000 0.0000 P

=====

(b)
ZrTaP3 | Alexandria | PBE-GGA | relaxed; DOS(E_F) = 3.37 states/eV per cell; calculated volume = 106.9 Å³ per cell; crystal system = cubic; space group = Pm-3m, No. 221
1.0
4.7462 0.0000 0.0000
0.0000 4.7462 0.0000
0.0000 0.0000 4.7462
Zr Ta P
1 1 3
Cartesian
0.0000 0.0000 0.0000 Zr
2.3731 2.3731 2.3731 Ta
0.0000 2.3731 2.3731 P
2.3731 0.0000 2.3731 P
2.3731 2.3731 0.0000 P

=====

Verdict on stability: (a) comes out at the bottom.

=====

(a)
ZrTa3P | Alexandria | PBE-GGA | relaxed; DOS(E_F) = 4.79 states/eV per cell; calculated volume = 117.8 Å³ per cell; crystal system = cubic; space group = Pm-3m, No. 221
1.0
4.9023 0.0000 0.0000
0.0000 4.9023 0.0000
0.0000 0.0000 4.9023
Zr Ta P
1 3 1
Cartesian
0.0000 0.0000 0.0000 Zr
0.0000 0.0000 2.4511 Ta
0.0000 2.4511 0.0000 Ta
2.4511 0.0000 0.0000 Ta
2.4511 2.4511 2.4511 P

=====

(b)
ZrTa3P | Alexandria | PBE-GGA | relaxed; DOS(E_F) = 4.35 states/eV per cell; calculated volume = 100.2 Å³ per cell; crystal system = cubic; space group = Pm-3m, No. 221
1.0
4.6444 0.0000 0.0000
0.0000 4.6444 0.0000
0.0000 0.0000 4.6444
Zr Ta P
1 3 1
Cartesian
0.0000 0.0000 0.0000 Zr
0.0000 2.3222 2.3222 Ta
2.3222 0.0000 2.3222 Ta
2.3222 2.3222 0.0000 Ta
2.3222 2.3222 2.3222 P

=====

Verdict on stability: (a) comes out at the bottom.

=====

(a)
TbTc3P3 | Alexandria | PBE-GGA | relaxed; DOS(E_F) = 6.03 states/eV per cell; calculated volume = 255.6 Å³ per cell; crystal system = trigonal; space group = R-3, No. 148
1.0
3.3368 1.9265 6.6255
-3.3368 1.9265 6.6255
0.0000 -3.8530 6.6255
Tb Tc P
2 6 6
Cartesian
0.0000 0.0000 3.2919 Tb
0.0000 0.0000 16.5847 Tb
-1.3237 -2.0456 7.5232 Tc
-2.4334 0.1235 12.3534 Tc
-1.1097 2.1691 7.5232 Tc
1.1097 -2.1691 12.3534 Tc
2.4334 -0.1235 7.5232 Tc
1.3237 2.0456 12.3534 Tc
-1.9707 0.0896 8.1192 P
-1.0630 -1.6618 11.7575 P
0.9077 -1.7515 8.1192 P
-0.9077 1.7515 11.7574 P
1.0630 1.6618 8.1192 P
1.9707 -0.0896 11.7574 P

=====

(b)
TbTc3P3 | Alexandria | PBE-GGA | relaxed; DOS(E_F) = 5.65 states/eV per cell; calculated volume = 267.0 Å³ per cell; crystal system = cubic; space group = Pm-3n, No. 223
1.0
6.4393 0.0000 0.0000
0.0000 6.4393 0.0000
0.0000 0.0000 6.4393
Tb Tc P
2 6 6
Cartesian
0.0000 0.0000 0.0000 Tb
3.2197 3.2197 3.2197 Tb
0.0000 1.6098 3.2197 Tc
0.0000 4.8295 3.2197 Tc
1.6098 3.2197 0.0000 Tc
3.2197 0.0000 1.6098 Tc
3.2197 0.0000 4.8295 Tc
4.8295 3.2197 0.0000 Tc
0.0000 3.2197 1.6098 P
0.0000 3.2197 4.8295 P
1.6098 0.0000 3.2197 P
3.2197 1.6098 0.0000 P
3.2197 4.8295 0.0000 P
4.8295 0.0000 3.2197 P

=====

Verdict on stability: (b) comes out at the bottom.

=====

(a)
Tb3Te2P | Alexandria | PBE-GGA | relaxed; DOS(E_F) = 5.32 states/eV per cell; calculated volume = 328.8 Å³ per cell; crystal system = monoclinic; space group = C2/m, No. 12
1.0
3.6622 -6.3290 0.0000
3.6622 6.3290 0.0000
-2.4410 0.0000 7.0925
Tb Te P
6 4 2
Cartesian
-0.1012 2.2700 5.5406 Tb
1.0311 0.0000 1.5119 Tb
-0.1012 -2.2700 5.5406 Tb
4.9846 2.2700 1.5519 Tb
3.8523 0.0000 5.5806 Tb
4.9846 -2.2700 1.5519 Tb
-1.2205 0.0000 3.5462 Te
2.4417 2.0044 3.5462 Te
3.6622 0.0000 0.0000 Te
2.4417 -2.0044 3.5462 Te
3.6622 4.2003 0.0000 P
3.6622 -4.2003 0.0000 P

=====

(b)
Tb3Te2P | Alexandria | PBE-GGA | relaxed; DOS(E_F) = 6.33 states/eV per cell; calculated volume = 328.7 Å³ per cell; crystal system = monoclinic; space group = C2/c, No. 15
1.0
3.7710 -6.3618 0.0000
3.7710 6.3618 0.0000
-2.4479 0.0000 6.8511
Tb Te P
6 4 2
Cartesian
1.8855 3.1809 0.0000 Tb
0.3400 0.9026 3.3813 Tb
-0.8839 -0.9026 6.8069 Tb
0.6616 -3.1809 3.4256 Tb
5.9780 0.9026 0.0442 Tb
4.7541 -0.9026 3.4698 Tb
1.9351 3.0331 5.1383 Te
3.1590 1.0083 1.7128 Te
1.9351 -1.0083 5.1383 Te
3.1590 -3.0331 1.7128 Te
3.1590 5.2107 1.7128 P
1.9351 -5.2107 5.1383 P

=====

Verdict on stability: (b) comes out at the bottom.

=====

(a)
TbTiP2 | Alexandria | PBE-GGA | relaxed; DOS(E_F) = 2.55 states/eV per cell; calculated volume = 76.4 Å³ per cell; crystal system = trigonal; space group = R3m, No. 160
1.0
1.8492 1.0677 6.4496
-1.8492 1.0677 6.4496
0.0000 -2.1353 6.4496
Tb Ti P
1 1 2
Cartesian
0.0000 0.0000 0.0000 Tb
0.0000 0.0000 15.9689 Ti
0.0000 0.0000 4.5366 P
0.0000 0.0000 8.2233 P

=====

(b)
TbTiP2 | Alexandria | PBE-GGA | relaxed; DOS(E_F) = 2.18 states/eV per cell; calculated volume = 75.5 Å³ per cell; crystal system = trigonal; space group = R-3m, No. 166
1.0
1.8776 1.0840 6.1789
-1.8776 1.0840 6.1789
0.0000 -2.1680 6.1789
Tb Ti P
1 1 2
Cartesian
0.0000 0.0000 0.0000 Tb
0.0000 0.0000 9.2683 Ti
0.0000 0.0000 4.4354 P
0.0000 0.0000 14.1013 P

=====

Verdict on stability: (a) comes out at the bottom.

=====

(a)
TbTmP | Alexandria | PBE-GGA | relaxed; DOS(E_F) = 3.05 states/eV per cell; calculated volume = 82.3 Å³ per cell; crystal system = trigonal; space group = P3m1, No. 156
1.0
3.8801 0.0000 0.0000
-1.9401 3.3603 0.0000
0.0000 0.0000 6.3129
Tb Tm P
1 1 1
Cartesian
0.0000 0.0000 0.0000 Tb
0.0000 2.2402 3.1599 Tm
1.9401 1.1201 1.6142 P

=====

(b)
TbTmP | Alexandria | PBE-GGA | relaxed; DOS(E_F) = 4.68 states/eV per cell; calculated volume = 144.1 Å³ per cell; crystal system = trigonal; space group = R-3m, No. 166
1.0
2.3344 1.3478 7.6320
-2.3344 1.3478 7.6320
0.0000 -2.6955 7.6320
Tb Tm P
2 2 2
Cartesian
0.0000 0.0000 2.8671 Tb
0.0000 0.0000 20.0290 Tb
0.0000 0.0000 8.5925 Tm
0.0000 0.0000 14.3036 Tm
0.0000 0.0000 5.7862 P
0.0000 0.0000 17.1100 P

=====

Verdict on stability: (b) comes out at the bottom.